Record 1
An optimized crystal structure of ThSeS, computed with PBE.

* DOS(E_F): 0.0 states/eV/f.u.
* M_tot: 0.00 μB/cell
* energy above the most stable polymorph in this dataset: 0.081 eV/atom

Cell lengths 4.2965, 4.2965, 6.7604 Å; angles 90.00, 90.00, 120.00 degrees
Space group P3m1 (No. 156)
One atom of each set of equivalent atoms:
Th1 0.0000 0.0000 0.0000 (multiplicity 1)
Se1 0.6667 0.3333 0.7696 (multiplicity 1)
S1 0.3333 0.6667 0.1910 (multiplicity 1)

***

Record 2
An optimized crystal structure of K3TiAl, computed with PBE.

* DOS(E_F): 4.6 states/eV/f.u.
* M_tot: 3.90 μB/cell
* energy above the most stable polymorph in this dataset: 0.000 eV/atom

Cell lengths 6.555, 6.555, 6.555 Å; angles 90.00, 90.00, 90.00 degrees
Space group Pm-3m (No. 221)
One atom of each set of equivalent atoms:
K1 0.000 0.000 0.500 (multiplicity 3)
Ti1 0.000 0.000 0.000 (multiplicity 1)
Al1 0.500 0.500 0.500 (multiplicity 1)

***

Record 3
An optimized crystal structure of K5Ba, computed with PBE.

* DOS(E_F): 5.9 states/eV/f.u.
* M_tot: 0.00 μB/cell
* energy above the most stable polymorph in this dataset: 0.046 eV/atom

Cell lengths 8.0696, 8.0696, 7.6076 Å; angles 90.00, 90.00, 120.00 degrees
Space group P-62m (No. 189)
One atom of each set of equivalent atoms:
K1 0.0000 0.6615 0.0000 (multiplicity 3)
K2 0.3333 0.6667 0.5000 (multiplicity 2)
Ba1 0.0000 0.0000 0.5000 (multiplicity 1)

***

Record 4
An optimized crystal structure of CaTcPb2, computed with PBE.

* DOS(E_F): 3.7 states/eV/f.u.
* M_tot: 0.00 μB/cell
* energy above the most stable polymorph in this dataset: 0.160 eV/atom

Cell lengths 3.665, 3.665, 7.592 Å; angles 90.00, 90.00, 90.00 degrees
Space group P4mm (No. 99)
One atom of each set of equivalent atoms:
Ca1 0.000 0.000 0.000 (multiplicity 1)
Tc1 0.500 0.500 0.727 (multiplicity 1)
Pb1 0.000 0.000 0.593 (multiplicity 1)
Pb2 0.500 0.500 0.308 (multiplicity 1)

***

Record 5
An optimized crystal structure of Tb4Pr5Sm, computed with PBE.

* DOS(E_F): 15.6 states/eV/f.u.
* M_tot: 0.00 μB/cell
* energy above the most stable polymorph in this dataset: 0.127 eV/atom

Cell lengths 18.439, 3.623, 10.644 Å; angles 90.00, 96.15, 90.00 degrees
Space group C2/m (No. 12)
One atom of each set of equivalent atoms:
Tb1 0.046 0.000 0.262 (multiplicity 4)
Tb2 0.183 0.500 0.413 (multiplicity 4)
Pr1 0.000 0.500 0.000 (multiplicity 2)
Pr2 0.142 0.000 0.730 (multiplicity 4)
Pr3 0.190 0.000 0.100 (multiplicity 4)
Sm1 0.000 0.500 0.500 (multiplicity 2)

***

Record 6
An optimized crystal structure of Be2Co2Sn, computed with PBE.

* DOS(E_F): 2.8 states/eV/f.u.
* M_tot: 2.76 μB/cell
* energy above the most stable polymorph in this dataset: 0.135 eV/atom

Cell lengths 6.435, 6.435, 2.902 Å; angles 90.00, 90.00, 90.00 degrees
Space group P4/mbm (No. 127)
One atom of each set of equivalent atoms:
Be1 0.132 0.368 0.000 (multiplicity 4)
Co1 0.145 0.645 0.500 (multiplicity 4)
Sn1 0.000 0.000 0.500 (multiplicity 2)

***

Number 1: final energy -6.80 eV/atom, calculated density 5.3 Mg/m³. Number 2: final energy -1.75 eV/atom, calculated density 1.1 Mg/m³. Number 3: final energy -1.16 eV/atom, calculated density 1.3 Mg/m³. Number 4: final energy -4.66 eV/atom, calculated density 9.0 Mg/m³. Number 5: final energy -4.57 eV/atom, calculated density 7.0 Mg/m³. Number 6: final energy -5.05 eV/atom, calculated density 7.0 Mg/m³.